1.
A relaxed NaLi2CaCu crystal, computed with PBE.

Computed properties:
Uncorrected energy in eV per atom: -2.111
Magnetic moment in Bohr magnetons per cell: 0.00

a = 5.0640 Å, b = 5.0640 Å, c = 5.5060 Å
α = 90.00°, β = 90.00°, γ = 90.00°
With the nearest neighbours (Å) after each atom.
Atoms (fractional coordinates):
1 Na 0.5000 0.5000 0.5000  4 Ca 3.58, 8 Li 3.74
2 Ca 0.0000 0.0000 0.5000  2 Cu 2.75
3 Cu 0.0000 0.0000 0.0000  4 Li 2.53, 2 Ca 2.75
4 Li 0.0000 0.5000 0.0000  2 Cu 2.53
5 Li 0.5000 0.0000 0.0000  2 Cu 2.53

2.
A relaxed LiMg3Hg2 crystal, computed with PBE.

Computed properties:
Excess energy over the best structure of this formula in the dataset in eV per atom: 0.0000
Uncorrected energy in eV per atom: -1.469
Magnetic moment in Bohr magnetons per cell: 0.00

a = 4.6645 Å, b = 6.0898 Å, c = 8.8079 Å
α = 90.00°, β = 90.00°, γ = 90.00°
With the nearest neighbours (Å) after each atom.
Atoms (fractional coordinates):
1 Li 0.5000 0.5390 0.5309  5 Hg 2.92-3.18, 2 Li 3.09, 4 Mg 3.11-3.25
2 Li 0.5000 0.0390 0.4691  5 Hg 2.92-3.18, 2 Li 3.09, 4 Mg 3.11-3.25
3 Mg 0.0000 0.4578 0.9691  5 Hg 2.96-3.17, 5 Mg 3.09-3.21
4 Mg 0.0000 0.9578 0.0309  5 Hg 2.96-3.17, 5 Mg 3.09-3.21
5 Mg 0.5000 0.6852 0.1923  4 Hg 2.85-2.94, 1 Li 3.11
6 Mg 0.5000 0.1852 0.8077  4 Hg 2.85-2.94, 1 Li 3.11
7 Mg 0.0000 0.3125 0.3194  4 Hg 2.81-2.97
8 Mg 0.0000 0.8125 0.6806  4 Hg 2.81-2.97
9 Hg 0.5000 0.7100 0.8586  8 Mg 2.88-3.17, 1 Li 3.07
10 Hg 0.5000 0.2100 0.1414  8 Mg 2.88-3.17, 1 Li 3.07
11 Hg 0.0000 0.2955 0.6379  5 Mg 2.81-3.08, 2 Li 2.92
12 Hg 0.0000 0.7955 0.3621  5 Mg 2.81-3.08, 2 Li 2.92